Material: NiHgPS2
Method: DFT, PBE-GGA
State: relaxed

The uncorrected formation energy is 7.57 eV per formula unit. The calculation puts the energy above the lowest structure with this stoichiometry at 5.18 eV/f.u. For the density of states at the Fermi level, the calculation gives 10.3 states/eV/f.u.

Structure (CIF):
```
data_NiHgPS2
_symmetry_space_group_name_H-M 'P 4/m m m'
_symmetry_Int_Tables_number 123
_symmetry_space_group_name_Hall '-P 4 2'
_cell_length_a 5.0241
_cell_length_b 5.0241
_cell_length_c 4.9285
_cell_angle_alpha 90.00
_cell_angle_beta 90.00
_cell_angle_gamma 90.00
loop_
_atom_site_label
_atom_site_type_symbol
_atom_site_fract_x
_atom_site_fract_y
_atom_site_fract_z
_atom_site_occupancy
Ni1 Ni 0.0000 0.0000 0.0000 1
Hg1 Hg 0.5000 0.5000 0.5000 1
P1 P 0.5000 0.5000 0.0000 1
S1 S 0.0000 0.5000 0.5000 1
```

***

Material: LaEr2Mg5
Method: DFT, PBE-GGA
State: relaxed

For the density of states at the Fermi level, the calculation gives 5.9 states/eV/f.u. The value obtained for the energy of formation is -0.081 eV per atom.

Structure (CIF):
```
data_LaEr2Mg5
_symmetry_space_group_name_H-M 'I 4/m m m'
_symmetry_Int_Tables_number 139
_symmetry_space_group_name_Hall '-I 4 2'
_cell_length_a 5.3116
_cell_length_b 5.3116
_cell_length_c 15.1601
_cell_angle_alpha 90.00
_cell_angle_beta 90.00
_cell_angle_gamma 90.00
loop_
_atom_site_label
_atom_site_type_symbol
_atom_site_fract_x
_atom_site_fract_y
_atom_site_fract_z
_atom_site_occupancy
La1 La 0.0000 0.0000 0.0000 1
Er1 Er 0.0000 0.0000 0.2587 1
Mg1 Mg 0.0000 0.0000 0.5000 1
Mg2 Mg 0.0000 0.5000 0.1251 1
```

***

Material: LaPr2Ga6
Method: DFT, PBE-GGA
State: relaxed

The calculation puts the energy above the lowest structure with this stoichiometry at 2.60 eV/f.u. For the density of states at the Fermi level, the calculation gives 6.1 states/eV/f.u. The value obtained for the energy of formation is -0.404 eV per atom.

Structure (CIF):
```
data_LaPr2Ga6
_symmetry_space_group_name_H-M 'I m m m'
_symmetry_Int_Tables_number 71
_symmetry_space_group_name_Hall '-I 2 2'
_cell_length_a 3.4946
_cell_length_b 9.7787
_cell_length_c 12.8688
_cell_angle_alpha 90.00
_cell_angle_beta 90.00
_cell_angle_gamma 90.00
loop_
_atom_site_label
_atom_site_type_symbol
_atom_site_fract_x
_atom_site_fract_y
_atom_site_fract_z
_atom_site_occupancy
La1 La 0.0000 0.0000 0.0000 1
Pr1 Pr 0.0000 0.5000 0.1422 1
Ga1 Ga 0.0000 0.1949 0.5000 1
Ga2 Ga 0.0000 0.3013 0.3221 1
```

***

Number 1: magnetic moment 0.529 μB per atom. Number 2: magnetic moment 0.000 μB per atom. Number 3: magnetic moment 0.000 μB per atom.